Record 1
First-principles (GGA-PBE) data for crystalline LaPaTe3 at its relaxed geometry, as listed in Alexandria via LeMat-Bulk.

Calculated values
N(E_F), states/eV/atom: 0.61
ΔE_f (raw), eV per atom: -1.157

Cell: 4.318 8.492 9.548 Å, 90.39 90.00 104.73°
Each line ends with the local moment (μB).
Fractional positions:
Te (0.639, 0.311, 0.771)  -0.04
Te (0.064, 0.162, 0.384)  -0.01
Te (0.980, 0.992, 0.038)  -0.01
Te (0.775, 0.584, 0.373)  -0.02
Te (0.405, 0.843, 0.651)  -0.04
Te (0.269, 0.570, 0.048)  -0.02
Pa (0.218, 0.468, 0.584)  1.26
Pa (0.826, 0.686, 0.838)  1.26
La (0.629, 0.290, 0.129)  0.02
La (0.415, 0.864, 0.292)  0.02

Record 2
First-principles (GGA-PBE) data for crystalline MgSe2Br at its relaxed geometry, as listed in Alexandria via LeMat-Bulk.

Calculated values
N(E_F), states/eV/atom: 0.46
ΔE_f (raw), eV per atom: -0.348

Cell: 3.978 3.769 6.310 Å, 90.00 90.00 90.00°
Fractional positions:
Se (0.000, 0.000, 0.000)
Se (0.500, 0.500, 0.000)
Mg (0.000, 0.500, 0.500)
Br (0.500, 0.000, 0.500)

Record 3
First-principles (GGA-PBE) data for crystalline GdTm2Tl at its relaxed geometry, as listed in Alexandria via LeMat-Bulk.

Calculated values
N(E_F), states/eV/atom: 1.76
ΔE_f, eV/atom: -0.02

Cell: 5.413 5.413 5.413 Å, 60.00 60.00 60.00°
Each line ends with the local moment (μB).
Fractional positions:
Tm (0.250, 0.250, 0.250)  0.33
Tm (0.750, 0.750, 0.750)  0.33
Gd (0.000, 0.000, 0.000)  7.48
Tl (0.500, 0.500, 0.500)  -0.01

Record 4
First-principles (GGA-PBE) data for crystalline LiCu2Ru2 at its relaxed geometry, as listed in Alexandria via LeMat-Bulk.

Calculated values
N(E_F), states/eV/atom: 0.94
ΔE_f, eV/atom: 0.35

Cell: 7.658 7.658 2.505 Å, 90.00 90.00 90.00°
Each line ends with the local moment (μB).
Fractional positions:
Ru (0.121, 0.621, 0.500)  0.38
Ru (0.621, 0.879, 0.500)  0.38
Ru (0.879, 0.379, 0.500)  0.38
Ru (0.379, 0.121, 0.500)  0.38
Cu (0.325, 0.825, 0.000)  0.04
Cu (0.175, 0.325, 0.000)  0.04
Cu (0.825, 0.675, 0.000)  0.04
Cu (0.675, 0.175, 0.000)  0.04
Li (0.000, 0.000, 0.000)  -0.01
Li (0.500, 0.500, 0.000)  -0.01

Record 5
First-principles (GGA-PBE) data for crystalline BaScTc2 at its relaxed geometry, as listed in Alexandria via LeMat-Bulk.

Calculated values
N(E_F), states/eV/atom: 1.29
ΔE_f, eV/atom: 0.75

Cell: 3.032 3.032 9.590 Å, 90.00 90.00 110.87°
Fractional positions:
Tc (0.000, 0.000, 0.532)
Tc (0.000, 0.000, 0.968)
Sc (0.500, 0.500, 0.750)
Ba (0.500, 0.500, 0.250)

Record 6
First-principles (GGA-PBE) data for crystalline InWI2N at its relaxed geometry, as listed in Alexandria via LeMat-Bulk.

Calculated values
N(E_F), states/eV/atom: 1.06
ΔE_f (raw), eV per atom: 1.703

Cell: 5.885 5.885 4.114 Å, 90.00 90.00 90.00°
Each line ends with the local moment (μB).
Fractional positions:
In (0.000, 0.000, 0.000)  0.04
I (0.500, 0.000, 0.000)  -0.04
I (0.000, 0.500, 0.000)  -0.04
W (0.500, 0.500, 0.500)  3.40
N (0.000, 0.000, 0.500)  -0.57

Record 7
First-principles (GGA-PBE) data for crystalline Cs4KIn3Br12 at its relaxed geometry, as listed in Alexandria via LeMat-Bulk.

Calculated values
N(E_F), states/eV/atom: 0.18
ΔE_f (raw), eV per atom: -1.282

Cell: 10.056 10.056 10.056 Å, 109.47 109.47 109.47°
Fractional positions:
In (0.000, 0.500, 0.500)
In (0.500, 0.000, 0.500)
In (0.500, 0.500, 0.000)
Br (0.500, 0.750, 0.250)
Br (0.265, 0.000, 0.265)
Br (0.000, 0.265, 0.265)
Br (0.000, 0.735, 0.735)
Br (0.735, 0.000, 0.735)
Br (0.750, 0.500, 0.250)
Br (0.265, 0.265, 0.000)
Br (0.250, 0.750, 0.500)
Br (0.500, 0.250, 0.750)
Br (0.750, 0.250, 0.500)
Br (0.735, 0.735, 0.000)
Br (0.250, 0.500, 0.750)
Cs (0.500, 0.500, 0.500)
Cs (0.000, 0.500, 0.000)
Cs (0.000, 0.000, 0.500)
Cs (0.500, 0.000, 0.000)
K (0.000, 0.000, 0.000)

Record 8
First-principles (GGA-PBE) data for crystalline AcZr2O at its relaxed geometry, as listed in Alexandria via LeMat-Bulk.

Calculated values
N(E_F), states/eV/atom: 0.94
ΔE_f (raw), eV per atom: -0.851

Cell: 3.483 3.483 9.155 Å, 79.04 79.04 60.00°
Fractional positions:
O (0.500, 0.500, 0.500)
Zr (0.125, 0.125, 0.624)
Zr (0.875, 0.875, 0.376)
Ac (0.000, 0.000, 0.000)

Record 9
First-principles (GGA-PBE) data for crystalline ThSc2Ni9 at its relaxed geometry, as listed in Alexandria via LeMat-Bulk.

Calculated values
N(E_F), states/eV/atom: 1.14
ΔE_f, eV/atom: -0.48

Cell: 4.907 4.907 8.477 Å, 73.18 73.18 60.00°
Fractional positions:
Ni (0.500, 0.500, 0.500)
Ni (0.917, 0.413, 0.257)
Ni (0.587, 0.083, 0.743)
Ni (0.587, 0.587, 0.743)
Ni (0.083, 0.587, 0.743)
Ni (0.333, 0.333, 0.000)
Ni (0.413, 0.917, 0.257)
Ni (0.667, 0.667, 0.000)
Ni (0.413, 0.413, 0.257)
Sc (0.858, 0.858, 0.427)
Sc (0.142, 0.142, 0.573)
Th (0.000, 0.000, 0.000)

Record 10
First-principles (GGA-PBE) data for crystalline Ac2TbPb9 at its relaxed geometry, as listed in Alexandria via LeMat-Bulk.

Calculated values
N(E_F), states/eV/atom: 0.48
ΔE_f, eV/atom: -0.37

Cell: 5.025 5.025 14.894 Å, 90.00 90.00 90.00°
Fractional positions:
Pb (0.500, 0.500, 0.671)
Pb (0.500, 0.000, 0.500)
Pb (0.500, 0.000, 0.843)
Pb (0.000, 0.500, 0.157)
Pb (0.500, 0.500, 0.000)
Pb (0.000, 0.500, 0.843)
Pb (0.500, 0.000, 0.157)
Pb (0.500, 0.500, 0.329)
Pb (0.000, 0.500, 0.500)
Ac (0.000, 0.000, 0.671)
Ac (0.000, 0.000, 0.329)
Tb (0.000, 0.000, 0.000)

Record 11
First-principles (GGA-PBE) data for crystalline SrNi2Au at its relaxed geometry, as listed in Alexandria via LeMat-Bulk.

Calculated values
N(E_F), states/eV/atom: 1.06
ΔE_f, eV/atom: 0.14

Cell: 5.478 5.478 5.478 Å, 144.31 129.24 63.59°
Each line ends with the local moment (μB).
Fractional positions:
Sr (0.508, 0.508, 0.000)  -0.01
Ni (0.979, 0.979, 0.000)  0.25
Ni (0.791, 0.291, 0.500)  0.27
Au (0.222, 0.722, 0.500)  0.00

Record 12
First-principles (GGA-PBE) data for crystalline K2NaYB at its relaxed geometry, as listed in Alexandria via LeMat-Bulk.

Calculated values
N(E_F), states/eV/atom: 1.29
ΔE_f, eV/atom: 1.18

Cell: 6.095 5.213 6.095 Å, 90.00 90.00 90.00°
Fractional positions:
K (0.500, 0.000, 0.000)
K (0.000, 0.000, 0.500)
Na (0.000, 0.500, 0.000)
Y (0.500, 0.500, 0.500)
B (0.000, 0.000, 0.000)

Record 13
First-principles (GGA-PBE) data for crystalline Ho5Ni2Pd at its relaxed geometry, as listed in Alexandria via LeMat-Bulk.

Calculated values
N(E_F), states/eV/atom: 0.87
ΔE_f, eV/atom: -0.47

Cell: 7.457 7.457 8.424 Å, 116.27 116.27 90.00°
Fractional positions:
Ni (0.126, 0.374, 0.000)
Ni (0.374, 0.874, 0.000)
Ni (0.626, 0.126, 0.000)
Ni (0.874, 0.626, 0.000)
Ho (0.196, 0.025, 0.722)
Ho (0.696, 0.196, 0.722)
Ho (0.475, 0.304, 0.278)
Ho (0.525, 0.696, 0.722)
Ho (0.000, 0.000, 0.000)
Ho (0.500, 0.500, 0.000)
Ho (0.804, 0.975, 0.278)
Ho (0.975, 0.475, 0.278)
Ho (0.025, 0.525, 0.722)
Ho (0.304, 0.804, 0.278)
Pd (0.250, 0.250, 0.500)
Pd (0.750, 0.750, 0.500)

Record 14
First-principles (GGA-PBE) data for crystalline TbCe3 at its relaxed geometry, as listed in Alexandria via LeMat-Bulk.

Calculated values
N(E_F), states/eV/atom: 4.02
ΔE_f, eV/atom: 0.26

Cell: 5.586 5.586 5.586 Å, 60.00 60.00 60.00°
Each line ends with the local moment (μB).
Fractional positions:
Ce (0.000, 0.000, 0.000)  1.12
Ce (0.250, 0.250, 0.250)  1.04
Ce (0.750, 0.750, 0.750)  1.04
Tb (0.500, 0.500, 0.500)  0.31

Record 15
First-principles (GGA-PBE) data for crystalline BiSeCl at its relaxed geometry, as listed in Alexandria via LeMat-Bulk.

Calculated values
ΔE_f (raw), eV per atom: -0.676

Cell: 4.155 12.911 7.728 Å, 90.00 90.00 90.00°
Fractional positions:
Cl (0.750, 0.752, 0.404)
Cl (0.250, 0.748, 0.904)
Cl (0.750, 0.252, 0.096)
Cl (0.250, 0.248, 0.596)
Se (0.750, 0.503, 0.723)
Se (0.250, 0.497, 0.277)
Se (0.750, 0.003, 0.777)
Se (0.250, 0.997, 0.223)
Bi (0.750, 0.874, 0.072)
Bi (0.750, 0.374, 0.428)
Bi (0.250, 0.126, 0.928)
Bi (0.250, 0.626, 0.572)

Record 16
First-principles (GGA-PBE) data for crystalline NbCo3Br at its relaxed geometry, as listed in Alexandria via LeMat-Bulk.

Calculated values
N(E_F), states/eV/atom: 1.24
ΔE_f (raw), eV per atom: 1.538

Cell: 4.613 4.613 4.613 Å, 90.00 90.00 90.00°
Each line ends with the local moment (μB).
Fractional positions:
Co (0.000, 0.000, 0.500)  1.07
Co (0.500, 0.000, 0.000)  0.63
Co (0.000, 0.500, 0.000)  0.99
Nb (0.000, 0.000, 0.000)  -0.39
Br (0.500, 0.500, 0.500)  0.11

Record 17
First-principles (GGA-PBE) data for crystalline GdPuCd2 at its relaxed geometry, as listed in Alexandria via LeMat-Bulk.

Calculated values
N(E_F), states/eV/atom: 2.57
ΔE_f, eV/atom: -0.13

Cell: 3.542 5.507 5.507 Å, 90.00 90.00 90.00°
Each line ends with the local moment (μB).
Fractional positions:
Cd (0.000, 0.500, 0.000)  0.02
Cd (0.000, 0.000, 0.500)  0.02
Pu (0.500, 0.500, 0.500)  5.58
Gd (0.500, 0.000, 0.000)  7.20

Record 18
First-principles (GGA-PBE) data for crystalline KRu2Pt at its relaxed geometry, as listed in Alexandria via LeMat-Bulk.

Calculated values
N(E_F), states/eV/atom: 1.04
ΔE_f, eV/atom: 1.00

Cell: 2.737 5.022 5.063 Å, 90.00 90.00 90.00°
Each line ends with the local moment (μB).
Fractional positions:
K (0.500, 0.000, 0.500)  0.01
Ru (0.000, 0.000, 0.000)  1.37
Ru (0.500, 0.500, 0.000)  0.68
Pt (0.000, 0.500, 0.500)  0.11

Record 19
First-principles (GGA-PBE) data for crystalline Ca4Mg3Ga at its relaxed geometry, as listed in Alexandria via LeMat-Bulk.

Calculated values
N(E_F), states/eV/atom: 0.71
ΔE_f, eV/atom: -0.18

Cell: 3.795 3.795 16.301 Å, 90.00 90.00 90.00°
Fractional positions:
Ca (0.000, 0.000, 0.631)
Ca (0.000, 0.000, 0.369)
Ca (0.000, 0.000, 0.107)
Ca (0.000, 0.000, 0.893)
Mg (0.500, 0.500, 0.238)
Mg (0.500, 0.500, 0.500)
Mg (0.500, 0.500, 0.762)
Ga (0.500, 0.500, 0.000)

Record 20
First-principles (GGA-PBE) data for crystalline TaHg2F6 at its relaxed geometry, as listed in Alexandria via LeMat-Bulk.

Calculated values
N(E_F), states/eV/atom: 0.07
ΔE_f (raw), eV per atom: -2.461

Cell: 7.087 5.173 5.173 Å, 120.00 90.00 90.00°
Fractional positions:
F (0.161, 0.300, 0.000)
F (0.839, 0.000, 0.700)
F (0.839, 0.700, 0.000)
F (0.161, 0.000, 0.300)
F (0.839, 0.300, 0.300)
F (0.161, 0.700, 0.700)
Hg (0.500, 0.333, 0.667)
Hg (0.500, 0.667, 0.333)
Ta (0.000, 0.000, 0.000)

Record 21
First-principles (GGA-PBE) data for crystalline Ac2Y3Pt2 at its relaxed geometry, as listed in Alexandria via LeMat-Bulk.

Calculated values
N(E_F), states/eV/atom: 1.23
ΔE_f, eV/atom: -0.74

Cell: 3.907 6.694 8.890 Å, 72.93 77.31 73.03°
Fractional positions:
Ac (0.838, 0.520, 0.805)
Ac (0.162, 0.480, 0.195)
Y (0.619, 0.192, 0.569)
Y (0.381, 0.808, 0.431)
Y (0.500, 0.000, 0.000)
Pt (0.164, 0.914, 0.757)
Pt (0.836, 0.086, 0.243)

Record 22
First-principles (GGA-PBE) data for crystalline Pr8SmEr6 at its relaxed geometry, as listed in Alexandria via LeMat-Bulk.

Calculated values
N(E_F), states/eV/atom: 1.45
ΔE_f, eV/atom: 0.16

Cell: 9.337 9.337 8.670 Å, 57.42 57.42 60.00°
Fractional positions:
Er (0.739, 0.446, 0.922)
Er (0.446, 0.893, 0.922)
Er (0.554, 0.107, 0.078)
Er (0.107, 0.261, 0.078)
Er (0.893, 0.739, 0.922)
Er (0.261, 0.554, 0.078)
Pr (0.915, 0.337, 0.521)
Pr (0.227, 0.915, 0.521)
Pr (0.085, 0.663, 0.479)
Pr (0.574, 0.574, 0.278)
Pr (0.426, 0.426, 0.722)
Pr (0.773, 0.085, 0.479)
Pr (0.337, 0.227, 0.521)
Pr (0.663, 0.773, 0.479)
Sm (0.000, 0.000, 0.000)

Record 23
First-principles (GGA-PBE) data for crystalline TiNbMoIr at its relaxed geometry, as listed in Alexandria via LeMat-Bulk.

Calculated values
N(E_F), states/eV/atom: 0.58
ΔE_f, eV/atom: -0.51

Cell: 4.484 4.484 4.484 Å, 60.00 60.00 60.00°
Fractional positions:
Ti (0.000, 0.000, 0.000)
Ir (0.250, 0.250, 0.250)
Nb (0.500, 0.500, 0.500)
Mo (0.750, 0.750, 0.750)

Record 24
First-principles (GGA-PBE) data for crystalline CrAsRu2 at its relaxed geometry, as listed in Alexandria via LeMat-Bulk.

Calculated values
N(E_F), states/eV/atom: 1.49
ΔE_f, eV/atom: 0.45

Cell: 2.785 2.785 8.330 Å, 90.00 90.00 117.63°
Each line ends with the local moment (μB).
Fractional positions:
Ru (0.500, 0.500, 0.263)  -0.10
Ru (0.000, 0.000, 0.986)  -0.35
Cr (0.500, 0.500, 0.745)  1.24
As (0.000, 0.000, 0.505)  -0.02

Record 25
First-principles (GGA-PBE) data for crystalline CsGaSi2 at its relaxed geometry, as listed in Alexandria via LeMat-Bulk.

Calculated values
N(E_F), states/eV/atom: 0.46
ΔE_f (raw), eV per atom: 0.297

Cell: 5.272 5.272 9.438 Å, 73.78 73.78 90.00°
Fractional positions:
Si (0.375, 0.625, 0.250)
Si (0.375, 0.625, 0.750)
Si (0.375, 0.125, 0.250)
Si (0.875, 0.625, 0.750)
Ga (0.250, 0.750, 0.500)
Ga (0.500, 0.500, 0.000)
Cs (0.000, 0.000, 0.000)
Cs (0.750, 0.250, 0.500)